Density functional theory data (PBE-GGA) for an optimized crystal structure of PmSnGeAu.

For the magnetic moment, the calculation gives 0.000 μB/cell. The calculation puts the formation energy at -0.41 eV/atom. The energy comes out at -4.572 eV/atom.

The structure belongs to space group F-43m (No. 216); the cell edges are 7.221, 7.221 and 7.221 Å and the angles 90.00°, 90.00° and 90.00°. The asymmetric unit holds Pm at (0.000, 0.000, 0.000), Sn at (0.000, 0.000, 0.500), Ge at (0.250, 0.250, 0.250) and Au at (0.250, 0.250, 0.750).